1.
This record from the Alexandria database describes crystalline Sr2TlV2 at its relaxed geometry. The functional is PBE.

Cell lengths 9.4852, 9.4852, 3.5075 Å; angles 90.00, 90.00, 90.00 degrees
With the nearest neighbours (Å) after each atom.
Sites, in units of the cell vectors:
Sr 0.2916 0.7916 0.0000  2 Tl 3.40, 6 V 3.43-3.47, 2 Sr 3.51
Sr 0.7916 0.7084 0.0000  2 Tl 3.40, 6 V 3.43-3.47, 2 Sr 3.51
Sr 0.7084 0.2084 0.0000  2 Tl 3.40, 6 V 3.43-3.47, 2 Sr 3.51
Sr 0.2084 0.2916 0.0000  2 Tl 3.40, 6 V 3.43-3.47, 2 Sr 3.51
Tl 0.5000 0.5000 0.0000  4 Sr 3.40, 2 Tl 3.51
Tl 0.0000 0.0000 0.0000  4 Sr 3.40, 2 Tl 3.51
V 0.0686 0.5686 0.5000  1 V 1.84
V 0.9314 0.4314 0.5000  1 V 1.84
V 0.5686 0.9314 0.5000  1 V 1.84
V 0.4314 0.0686 0.5000  1 V 1.84

Output
Energy above the most stable polymorph in this dataset ... 250 meV per atom
Space-group type ... No. 127
Formation energy ... 0.648 eV/atom
M_tot ... 0.000 μB per atom
Crystal system ... tetragonal
Calculated volume ... 31.6 Å³/atom

2.
This record from the Alexandria database describes crystalline Sr3TlV at its relaxed geometry. The functional is PBE.

Cell lengths 6.1480, 6.1480, 6.1480 Å; angles 90.00, 90.00, 90.00 degrees
With the nearest neighbours (Å) after each atom.
Sites, in units of the cell vectors:
V 0.0000 0.0000 0.0000  6 Sr 3.07
Tl 0.5000 0.5000 0.5000  12 Sr 4.35
Sr 0.0000 0.0000 0.5000  2 V 3.07
Sr 0.0000 0.5000 0.0000  2 V 3.07
Sr 0.5000 0.0000 0.0000  2 V 3.07

Output
Space-group type ... No. 221
Formation energy ... 0.567 eV/atom
M_tot ... 0.882 μB per atom
Crystal system ... cubic
Calculated volume ... 46.5 Å³/atom

3.
This record from the Alexandria database describes crystalline Sr2TlV2 at its relaxed geometry. The functional is PBE.

Cell lengths 3.4563, 3.4563, 11.4464 Å; angles 81.32, 81.32, 90.00 degrees
With the nearest neighbours (Å) after each atom.
Sites, in units of the cell vectors:
Tl 0.0000 0.0000 0.0000  4 Tl 3.46, 8 Sr 3.51
Sr 0.6124 0.6124 0.7752  4 Sr 3.46, 4 Tl 3.51, 4 V 3.53
Sr 0.3876 0.3876 0.2248  4 Sr 3.46, 4 Tl 3.51, 4 V 3.53
V 0.2500 0.7500 0.5000  4 V 2.44
V 0.7500 0.2500 0.5000  4 V 2.44

Output
Energy above the most stable polymorph in this dataset ... 0 meV per atom
Space-group type ... No. 139
Formation energy ... 0.398 eV/atom
M_tot ... 0.000 μB per atom
Crystal system ... tetragonal
Calculated volume ... 26.7 Å³/atom

4.
This record from the Alexandria database describes crystalline SrTl3V at its relaxed geometry. The functional is PBE.

Cell lengths 5.2942, 5.2942, 5.2942 Å; angles 90.00, 90.00, 90.00 degrees
With the nearest neighbours (Å) after each atom.
Sites, in units of the cell vectors:
Tl 0.5000 0.0000 0.0000  2 V 2.65
Tl 0.0000 0.5000 0.0000  2 V 2.65
Tl 0.0000 0.0000 0.5000  2 V 2.65
V 0.0000 0.0000 0.0000  6 Tl 2.65
Sr 0.5000 0.5000 0.5000  12 Tl 3.74

Output
Energy above the most stable polymorph in this dataset ... 0 meV per atom
Space-group type ... No. 221
Formation energy ... 0.104 eV/atom
M_tot ... 0.000 μB per atom
Crystal system ... cubic
Calculated volume ... 29.7 Å³/atom

5.
This record from the Alexandria database describes crystalline SrTl2V at its relaxed geometry. The functional is PBE.

Cell lengths 5.2617, 5.2617, 10.5045 Å; angles 75.50, 75.50, 90.00 degrees
With the nearest neighbours (Å) after each atom.
Sites, in units of the cell vectors:
Tl 0.5083 0.1250 0.2500  2 V 2.87, 2 Tl 2.98
Tl 0.2417 0.6250 0.2500  2 V 2.87, 2 Tl 2.98
Tl 0.8750 0.7583 0.7500  2 V 2.87, 2 Tl 2.98
Tl 0.3750 0.4917 0.7500  2 V 2.87, 2 Tl 2.98
Sr 0.0000 0.0000 0.0000  4 Tl 3.39, 4 V 3.72
Sr 0.7500 0.2500 0.5000  4 Tl 3.39, 4 V 3.72
V 0.2500 0.7500 0.5000  4 Tl 2.87
V 0.5000 0.5000 0.0000  4 Tl 2.87

Output
Space-group type ... No. 122
Formation energy ... 0.453 eV/atom
M_tot ... 0.904 μB per atom
Crystal system ... tetragonal
Calculated volume ... 34.0 Å³/atom

6.
This record from the Alexandria database describes crystalline SrZrTlV2 at its relaxed geometry. The functional is PBE.

Cell lengths 4.9507, 5.3552, 4.9507 Å; angles 90.00, 90.00, 90.00 degrees
With the nearest neighbours (Å) after each atom.
Sites, in units of the cell vectors:
Tl 0.5000 0.5000 0.5000  4 Zr 3.50, 8 V 3.65
V 0.5000 0.0000 0.0000  2 Sr 2.48
V 0.0000 0.0000 0.5000  2 Sr 2.48
Zr 0.0000 0.5000 0.0000  2 Sr 2.68
Sr 0.0000 0.0000 0.0000  4 V 2.48, 2 Zr 2.68

Output
Space-group type ... No. 123
Formation energy ... 2.051 eV/atom
M_tot ... 1.118 μB per atom
Crystal system ... tetragonal
Calculated volume ... 26.3 Å³/atom

7.
This record from the Alexandria database describes crystalline Sr4TlW at its relaxed geometry. The functional is PBE.

Cell lengths 6.8652, 6.8652, 6.8652 Å; angles 60.00, 60.00, 60.00 degrees
With the nearest neighbours (Å) after each atom.
Sites, in units of the cell vectors:
Sr 0.3745 0.8764 0.3745  6 Sr 3.42-3.45
Sr 0.3745 0.3745 0.3745  6 Sr 3.42-3.45
Sr 0.8764 0.3745 0.3745  6 Sr 3.42-3.45
Sr 0.3745 0.3745 0.8764  6 Sr 3.42-3.45
Tl 0.7500 0.7500 0.7500  12 Sr 4.03, 4 W 4.20
W 0.0000 0.0000 0.0000  12 Sr 4.02, 4 Tl 4.20

Output
Space-group type ... No. 216
Formation energy ... 1.167 eV/atom
M_tot ... 0.590 μB per atom
Crystal system ... cubic
Calculated volume ... 38.1 Å³/atom

8.
This record from the Alexandria database describes crystalline SrTlW2 at its relaxed geometry. The functional is PBE.

Cell lengths 5.0366, 4.1576, 4.1576 Å; angles 90.00, 90.00, 90.00 degrees
With the nearest neighbours (Å) after each atom.
Sites, in units of the cell vectors:
Tl 0.5000 0.0000 0.5000  4 Sr 2.94, 8 W 3.27
W 0.0000 0.5000 0.5000  4 W 2.94, 4 Tl 3.27, 4 Sr 3.27
W 0.0000 0.0000 0.0000  4 W 2.94, 4 Tl 3.27, 4 Sr 3.27
Sr 0.5000 0.5000 0.0000  4 Tl 2.94, 8 W 3.27

Output
Energy above the most stable polymorph in this dataset ... 763 meV per atom
Space-group type ... No. 123
Formation energy ... 1.297 eV/atom
M_tot ... 0.000 μB per atom
Crystal system ... tetragonal
Calculated volume ... 21.8 Å³/atom

9.
This record from the Alexandria database describes crystalline SrTlW2 at its relaxed geometry. The functional is PBE.

Cell lengths 3.0906, 3.0906, 10.0405 Å; angles 90.00, 90.00, 111.39 degrees
With the nearest neighbours (Å) after each atom.
Sites, in units of the cell vectors:
W 0.0000 0.0000 0.0268  2 W 2.54
W 0.5000 0.5000 0.2113  2 W 2.54
Tl 0.5000 0.5000 0.7780  2 W 3.05, 4 Tl 3.09
Sr 0.0000 0.0000 0.4839  4 Sr 3.09, 2 W 3.24, 2 Tl 3.43

Output
Energy above the most stable polymorph in this dataset ... 225 meV per atom
Space-group type ... No. 35
Formation energy ... 0.759 eV/atom
M_tot ... 0.000 μB per atom
Crystal system ... orthorhombic
Calculated volume ... 22.3 Å³/atom

10.
This record from the Alexandria database describes crystalline SrTlW2 at its relaxed geometry. The functional is PBE.

Cell lengths 2.9585, 4.7402, 6.7652 Å; angles 90.00, 90.00, 90.00 degrees
With the nearest neighbours (Å) after each atom.
Sites, in units of the cell vectors:
W 0.0000 0.0000 0.9281  1 W 2.41
W 0.0000 0.0000 0.5719  1 W 2.41
Tl 0.5000 0.5000 0.7500  2 Tl 2.96, 8 W 3.04
Sr 0.5000 0.5000 0.2500  2 Sr 2.96

Output
Energy above the most stable polymorph in this dataset ... 672 meV per atom
Space-group type ... No. 47
Formation energy ... 1.206 eV/atom
M_tot ... 0.000 μB per atom
Crystal system ... orthorhombic
Calculated volume ... 23.7 Å³/atom

11.
This record from the Alexandria database describes crystalline SrTlW2 at its relaxed geometry. The functional is PBE.

Cell lengths 5.8291, 5.8291, 5.8291 Å; angles 138.03, 138.03, 60.85 degrees
With the nearest neighbours (Å) after each atom.
Sites, in units of the cell vectors:
W 0.0000 0.0000 0.0000  4 W 2.95, 4 Sr 3.27, 4 Tl 3.27
W 0.5000 0.5000 0.0000  4 W 2.95, 4 Tl 3.27, 4 Sr 3.27
Tl 0.7500 0.2500 0.5000  4 Sr 2.95, 8 W 3.27
Sr 0.2500 0.7500 0.5000  4 Tl 2.95, 8 W 3.27

Output
Energy above the most stable polymorph in this dataset ... 780 meV per atom
Space-group type ... No. 139
Formation energy ... 1.314 eV/atom
M_tot ... 0.000 μB per atom
Crystal system ... tetragonal
Calculated volume ... 21.9 Å³/atom

12.
This record from the Alexandria database describes crystalline SrTlW2 at its relaxed geometry. The functional is PBE.

Cell lengths 4.7012, 4.7012, 10.7739 Å; angles 77.40, 77.40, 90.00 degrees
With the nearest neighbours (Å) after each atom.
Sites, in units of the cell vectors:
Sr 0.2500 0.7500 0.5000  4 Tl 3.32, 4 W 3.47
Sr 0.5000 0.5000 0.0000  4 Tl 3.32, 4 W 3.47
Tl 0.7500 0.2500 0.5000  4 W 2.84
Tl 0.0000 0.0000 0.0000  4 W 2.84
W 0.9448 0.6250 0.2500  2 W 2.44
W 0.3750 0.1948 0.7500  2 W 2.44
W 0.8052 0.1250 0.2500  2 W 2.44
W 0.8750 0.0552 0.7500  2 W 2.44

Output
Energy above the most stable polymorph in this dataset ... 778 meV per atom
Space-group type ... No. 122
Formation energy ... 1.312 eV/atom
M_tot ... 0.000 μB per atom
Crystal system ... tetragonal
Calculated volume ... 28.3 Å³/atom

Please write out number 5 again, unchanged.
This record from the Alexandria database describes crystalline SrTl2V at its relaxed geometry. The functional is PBE.

Cell lengths 5.2617, 5.2617, 10.5045 Å; angles 75.50, 75.50, 90.00 degrees
With the nearest neighbours (Å) after each atom.
Sites, in units of the cell vectors:
Tl 0.5083 0.1250 0.2500  2 V 2.87, 2 Tl 2.98
Tl 0.2417 0.6250 0.2500  2 V 2.87, 2 Tl 2.98
Tl 0.8750 0.7583 0.7500  2 V 2.87, 2 Tl 2.98
Tl 0.3750 0.4917 0.7500  2 V 2.87, 2 Tl 2.98
Sr 0.0000 0.0000 0.0000  4 Tl 3.39, 4 V 3.72
Sr 0.7500 0.2500 0.5000  4 Tl 3.39, 4 V 3.72
V 0.2500 0.7500 0.5000  4 Tl 2.87
V 0.5000 0.5000 0.0000  4 Tl 2.87

Output
Space-group type ... No. 122
Formation energy ... 0.453 eV/atom
M_tot ... 0.904 μB per atom
Crystal system ... tetragonal
Calculated volume ... 34.0 Å³/atom